(1)
A geometry-optimized MnNi2OsI structure. Source: Alexandria via LeMat-Bulk, functional GGA-PBE.

Lattice parameters (Å, degrees): 4.5285 4.5285 4.9484 90.00 90.00 90.00
Fractional positions:
1 Mn 0.0000 0.0000 0.0000
2 Ni 0.0000 0.5000 0.5000
3 Ni 0.5000 0.0000 0.5000
4 Os 0.5000 0.5000 0.0000
5 I 0.5000 0.5000 0.5000

Output
As for the calculated volume: 101.5 Å³ per cell. The space group is No. 123. As for the formation energy from raw total energies: 1.6581 eV per atom.

---

(2)
A geometry-optimized Rb2MnNiI6 structure. Source: Alexandria via LeMat-Bulk, functional GGA-PBE.

Lattice parameters (Å, degrees): 8.0076 8.0076 8.0076 60.00 60.00 60.00
Fractional positions:
1 Rb 0.2500 0.2500 0.2500
2 Rb 0.7500 0.7500 0.7500
3 Mn 0.0000 0.0000 0.0000
4 Ni 0.5000 0.5000 0.5000
5 I 0.2533 0.2533 0.7467
6 I 0.2533 0.7467 0.2533
7 I 0.2533 0.7467 0.7467
8 I 0.7467 0.2533 0.2533
9 I 0.7467 0.2533 0.7467
10 I 0.7467 0.7467 0.2533

Output
As for the calculated volume: 363.1 Å³ per cell. The space group is No. 225. As for the formation energy from raw total energies: -0.6870 eV per atom.

---

(3)
A geometry-optimized MnNiTeI2 structure. Source: Alexandria via LeMat-Bulk, functional GGA-PBE.

Lattice parameters (Å, degrees): 5.2098 5.2098 5.2661 90.00 90.00 90.00
Fractional positions:
1 Mn 0.0000 0.0000 0.0000
2 Ni 0.5000 0.5000 0.5000
3 Te 0.5000 0.5000 0.0000
4 I 0.0000 0.5000 0.5000
5 I 0.5000 0.0000 0.5000

Output
As for the calculated volume: 142.9 Å³ per cell. The space group is No. 123. As for the formation energy from raw total energies: 0.4715 eV per atom.

---

(4)
A geometry-optimized MnNiTeI2 structure. Source: Alexandria via LeMat-Bulk, functional GGA-PBE.

Lattice parameters (Å, degrees): 5.3914 5.3914 5.5400 90.00 90.00 90.00
Fractional positions:
1 Mn 0.0000 0.0000 0.0000
2 Ni 0.5000 0.5000 0.5000
3 Te 0.0000 0.0000 0.5000
4 I 0.0000 0.5000 0.0000
5 I 0.5000 0.0000 0.0000

Output
As for the calculated volume: 161.0 Å³ per cell. The space group is No. 123. As for the formation energy from raw total energies: 0.7023 eV per atom.

---

> What is the formula in the second record?

Rb2MnNiI6

---

> What is the formula in the third record?

MnNiTeI2

---

> Which formula does entry 3 have?

MnNiTeI2